Entry 1:
This record from Alexandria describes crystalline BaSrCdRh at its relaxed geometry. The functional is GGA-PBE.

CIF file:
```
data_BaSrCdRh
_chemical_formula_sum 'Ba2 Sr2 Cd2 Rh2'
_symmetry_space_group_name_H-M 'C 1 m 1'
_symmetry_Int_Tables_number 8
_symmetry_space_group_name_Hall 'C -2y'
_cell_length_a 8.158
_cell_length_b 4.715
_cell_length_c 8.371
_cell_angle_alpha 90.00
_cell_angle_beta 109.03
_cell_angle_gamma 90.00
loop_
_atom_site_label
_atom_site_fract_x
_atom_site_fract_y
_atom_site_fract_z
_atom_site_occupancy
Ba1 0.000 0.000 0.000 1
Sr1 0.170 0.000 0.509 1
Cd1 0.424 0.000 0.271 1
Rh1 0.256 0.500 0.267 1
```

## Properties
* electronic total energy: -25.72 eV/cell
* relative energy among the computed polymorphs: 0 meV/atom


Entry 2:
This record from Alexandria describes crystalline BaTlCd2Rh at its relaxed geometry. The functional is GGA-PBE.

CIF file:
```
data_BaTlCd2Rh
_chemical_formula_sum 'Ba1 Tl1 Cd2 Rh1'
_symmetry_space_group_name_H-M 'P 4/m m m'
_symmetry_Int_Tables_number 123
_symmetry_space_group_name_Hall '-P 4 2'
_cell_length_a 5.290
_cell_length_b 5.290
_cell_length_c 5.260
_cell_angle_alpha 90.00
_cell_angle_beta 90.00
_cell_angle_gamma 90.00
loop_
_atom_site_label
_atom_site_fract_x
_atom_site_fract_y
_atom_site_fract_z
_atom_site_occupancy
Ba1 0.000 0.000 0.000 1
Tl1 0.500 0.500 0.000 1
Cd1 0.000 0.500 0.500 1
Rh1 0.500 0.500 0.500 1
```

## Properties
* electronic total energy: -14.75 eV/cell
* relative energy among the computed polymorphs: 0 meV/atom


Entry 3:
This record from Alexandria describes crystalline BaTl2CdRh at its relaxed geometry. The functional is GGA-PBE.

CIF file:
```
data_BaTl2CdRh
_chemical_formula_sum 'Ba1 Tl2 Cd1 Rh1'
_symmetry_space_group_name_H-M 'P 4/m m m'
_symmetry_Int_Tables_number 123
_symmetry_space_group_name_Hall '-P 4 2'
_cell_length_a 5.298
_cell_length_b 5.298
_cell_length_c 5.310
_cell_angle_alpha 90.00
_cell_angle_beta 90.00
_cell_angle_gamma 90.00
loop_
_atom_site_label
_atom_site_fract_x
_atom_site_fract_y
_atom_site_fract_z
_atom_site_occupancy
Ba1 0.000 0.000 0.000 1
Tl1 0.000 0.500 0.500 1
Cd1 0.500 0.500 0.000 1
Rh1 0.500 0.500 0.500 1
```

## Properties
* electronic total energy: -16.11 eV/cell
* relative energy among the computed polymorphs: 0 meV/atom


Entry 4:
This record from Alexandria describes crystalline BaTlCd2Rh at its relaxed geometry. The functional is GGA-PBE.

CIF file:
```
data_BaTlCd2Rh
_chemical_formula_sum 'Ba1 Tl1 Cd2 Rh1'
_symmetry_space_group_name_H-M 'P 4/m m m'
_symmetry_Int_Tables_number 123
_symmetry_space_group_name_Hall '-P 4 2'
_cell_length_a 5.318
_cell_length_b 5.318
_cell_length_c 5.715
_cell_angle_alpha 90.00
_cell_angle_beta 90.00
_cell_angle_gamma 90.00
loop_
_atom_site_label
_atom_site_fract_x
_atom_site_fract_y
_atom_site_fract_z
_atom_site_occupancy
Ba1 0.000 0.000 0.000 1
Tl1 0.500 0.500 0.000 1
Cd1 0.000 0.500 0.500 1
Rh1 0.000 0.000 0.500 1
```

## Properties
* electronic total energy: -13.74 eV/cell
* relative energy among the computed polymorphs: 201 meV/atom


Entry 5:
This record from Alexandria describes crystalline BaTl2CdRh at its relaxed geometry. The functional is GGA-PBE.

CIF file:
```
data_BaTl2CdRh
_chemical_formula_sum 'Ba1 Tl2 Cd1 Rh1'
_symmetry_space_group_name_H-M 'P 4/m m m'
_symmetry_Int_Tables_number 123
_symmetry_space_group_name_Hall '-P 4 2'
_cell_length_a 5.342
_cell_length_b 5.342
_cell_length_c 5.891
_cell_angle_alpha 90.00
_cell_angle_beta 90.00
_cell_angle_gamma 90.00
loop_
_atom_site_label
_atom_site_fract_x
_atom_site_fract_y
_atom_site_fract_z
_atom_site_occupancy
Ba1 0.000 0.000 0.000 1
Tl1 0.000 0.500 0.500 1
Cd1 0.500 0.500 0.000 1
Rh1 0.000 0.000 0.500 1
```

## Properties
* electronic total energy: -15.62 eV/cell
* relative energy among the computed polymorphs: 99 meV/atom


Entry 6:
This record from Alexandria describes crystalline BaTlCdRh at its relaxed geometry. The functional is GGA-PBE.

CIF file:
```
data_BaTlCdRh
_chemical_formula_sum 'Ba3 Tl3 Cd3 Rh3'
_symmetry_space_group_name_H-M 'R 3 m'
_symmetry_Int_Tables_number 160
_symmetry_space_group_name_Hall 'R 3 -2"'
_cell_length_a 4.7906
_cell_length_b 4.7906
_cell_length_c 17.5495
_cell_angle_alpha 90.00
_cell_angle_beta 90.00
_cell_angle_gamma 120.00
loop_
_atom_site_label
_atom_site_fract_x
_atom_site_fract_y
_atom_site_fract_z
_atom_site_occupancy
Ba1 0.0000 0.0000 0.0000 1
Tl1 0.0000 0.0000 0.2038 1
Cd1 0.0000 0.0000 0.4616 1
Rh1 0.0000 0.0000 0.8094 1
```

## Properties
* electronic total energy: -40.14 eV/cell


Entry 7:
This record from Alexandria describes crystalline BaCd2Ru at its relaxed geometry. The functional is GGA-PBE.

CIF file:
```
data_BaCd2Ru
_chemical_formula_sum 'Ba4 Cd8 Ru4'
_symmetry_space_group_name_H-M 'I -4 2 d'
_symmetry_Int_Tables_number 122
_symmetry_space_group_name_Hall 'I -4 2bw'
_cell_length_a 5.212
_cell_length_b 5.212
_cell_length_c 18.886
_cell_angle_alpha 90.00
_cell_angle_beta 90.00
_cell_angle_gamma 90.00
loop_
_atom_site_label
_atom_site_fract_x
_atom_site_fract_y
_atom_site_fract_z
_atom_site_occupancy
Ba1 0.000 0.000 0.000 1
Cd1 0.066 0.250 0.625 1
Ru1 0.000 0.000 0.500 1
```

## Properties
* electronic total energy: -45.92 eV/cell


Entry 8:
This record from Alexandria describes crystalline BaCd2Ru at its relaxed geometry. The functional is GGA-PBE.

CIF file:
```
data_BaCd2Ru
_chemical_formula_sum 'Ba2 Cd4 Ru2'
_symmetry_space_group_name_H-M 'I m m m'
_symmetry_Int_Tables_number 71
_symmetry_space_group_name_Hall '-I 2 2'
_cell_length_a 3.540
_cell_length_b 5.355
_cell_length_c 10.845
_cell_angle_alpha 90.00
_cell_angle_beta 90.00
_cell_angle_gamma 90.00
loop_
_atom_site_label
_atom_site_fract_x
_atom_site_fract_y
_atom_site_fract_z
_atom_site_occupancy
Ba1 0.000 0.000 0.000 1
Cd1 0.000 0.500 0.201 1
Ru1 0.000 0.000 0.500 1
```

## Properties
* electronic total energy: -24.09 eV/cell


Entry 9:
This record from Alexandria describes crystalline BaCd2Ru at its relaxed geometry. The functional is GGA-PBE.

CIF file:
```
data_BaCd2Ru
_chemical_formula_sum 'Ba1 Cd2 Ru1'
_symmetry_space_group_name_H-M 'P 1 2/m 1'
_symmetry_Int_Tables_number 10
_symmetry_space_group_name_Hall '-P 2y'
_cell_length_a 3.820
_cell_length_b 4.812
_cell_length_c 5.976
_cell_angle_alpha 90.00
_cell_angle_beta 108.47
_cell_angle_gamma 90.00
loop_
_atom_site_label
_atom_site_fract_x
_atom_site_fract_y
_atom_site_fract_z
_atom_site_occupancy
Ba1 0.000 0.000 0.000 1
Cd1 0.355 0.500 0.694 1
Ru1 0.000 0.000 0.500 1
```

## Properties
* electronic total energy: -11.79 eV/cell


Entry 10:
This record from Alexandria describes crystalline BaCd2Ru at its relaxed geometry. The functional is GGA-PBE.

CIF file:
```
data_BaCd2Ru
_chemical_formula_sum 'Ba2 Cd4 Ru2'
_symmetry_space_group_name_H-M 'I -4 m 2'
_symmetry_Int_Tables_number 119
_symmetry_space_group_name_Hall 'I -4 -2'
_cell_length_a 5.434
_cell_length_b 5.434
_cell_length_c 6.742
_cell_angle_alpha 90.00
_cell_angle_beta 90.00
_cell_angle_gamma 90.00
loop_
_atom_site_label
_atom_site_fract_x
_atom_site_fract_y
_atom_site_fract_z
_atom_site_occupancy
Ba1 0.000 0.000 0.000 1
Cd1 0.000 0.000 0.500 1
Cd2 0.000 0.500 0.250 1
Ru1 0.000 0.500 0.750 1
```

## Properties
* electronic total energy: -22.45 eV/cell


Entry 11:
This record from Alexandria describes crystalline BaCd2Ru at its relaxed geometry. The functional is GGA-PBE.

CIF file:
```
data_BaCd2Ru
_chemical_formula_sum 'Ba1 Cd2 Ru1'
_symmetry_space_group_name_H-M 'P 4/m m m'
_symmetry_Int_Tables_number 123
_symmetry_space_group_name_Hall '-P 4 2'
_cell_length_a 3.503
_cell_length_b 3.503
_cell_length_c 8.011
_cell_angle_alpha 90.00
_cell_angle_beta 90.00
_cell_angle_gamma 90.00
loop_
_atom_site_label
_atom_site_fract_x
_atom_site_fract_y
_atom_site_fract_z
_atom_site_occupancy
Ba1 0.000 0.000 0.000 1
Cd1 0.500 0.500 0.321 1
Ru1 0.000 0.000 0.500 1
```

## Properties
* electronic total energy: -12.04 eV/cell


Entry 12:
This record from Alexandria describes crystalline BaCd2Ru at its relaxed geometry. The functional is GGA-PBE.

CIF file:
```
data_BaCd2Ru
_chemical_formula_sum 'Ba2 Cd4 Ru2'
_symmetry_space_group_name_H-M 'A m m 2'
_symmetry_Int_Tables_number 38
_symmetry_space_group_name_Hall 'A 2 -2'
_cell_length_a 4.467
_cell_length_b 4.079
_cell_length_c 12.386
_cell_angle_alpha 90.00
_cell_angle_beta 90.00
_cell_angle_gamma 90.00
loop_
_atom_site_label
_atom_site_fract_x
_atom_site_fract_y
_atom_site_fract_z
_atom_site_occupancy
Ba1 0.000 0.000 0.000 1
Cd1 0.000 0.000 0.273 1
Cd2 0.500 0.000 0.736 1
Ru1 0.500 0.000 0.394 1
```

## Properties
* electronic total energy: -23.63 eV/cell


Entry 13:
This record from Alexandria describes crystalline BaCd2Ru at its relaxed geometry. The functional is GGA-PBE.

CIF file:
```
data_BaCd2Ru
_chemical_formula_sum 'Ba2 Cd4 Ru2'
_symmetry_space_group_name_H-M 'C m m m'
_symmetry_Int_Tables_number 65
_symmetry_space_group_name_Hall '-C 2 2'
_cell_length_a 5.881
_cell_length_b 9.116
_cell_length_c 3.622
_cell_angle_alpha 90.00
_cell_angle_beta 90.00
_cell_angle_gamma 90.00
loop_
_atom_site_label
_atom_site_fract_x
_atom_site_fract_y
_atom_site_fract_z
_atom_site_occupancy
Ba1 0.000 0.000 0.000 1
Cd1 0.250 0.250 0.500 1
Ru1 0.000 0.500 0.000 1
```

## Properties
* electronic total energy: -21.80 eV/cell


Entry 14:
This record from Alexandria describes crystalline BaCd2Ru at its relaxed geometry. The functional is GGA-PBE.

CIF file:
```
data_BaCd2Ru
_chemical_formula_sum 'Ba2 Cd4 Ru2'
_symmetry_space_group_name_H-M 'I 4/m m m'
_symmetry_Int_Tables_number 139
_symmetry_space_group_name_Hall '-I 4 2'
_cell_length_a 4.525
_cell_length_b 4.525
_cell_length_c 9.498
_cell_angle_alpha 90.00
_cell_angle_beta 90.00
_cell_angle_gamma 90.00
loop_
_atom_site_label
_atom_site_fract_x
_atom_site_fract_y
_atom_site_fract_z
_atom_site_occupancy
Ba1 0.000 0.000 0.000 1
Cd1 0.000 0.500 0.250 1
Ru1 0.000 0.000 0.500 1
```

## Properties
* electronic total energy: -23.09 eV/cell


Entry 15:
This record from Alexandria describes crystalline BaCdRu4 at its relaxed geometry. The functional is GGA-PBE.

CIF file:
```
data_BaCdRu4
_chemical_formula_sum 'Ba4 Cd4 Ru16'
_symmetry_space_group_name_H-M 'F -4 3 m'
_symmetry_Int_Tables_number 216
_symmetry_space_group_name_Hall 'F -4 2 3'
_cell_length_a 7.727
_cell_length_b 7.727
_cell_length_c 7.727
_cell_angle_alpha 90.00
_cell_angle_beta 90.00
_cell_angle_gamma 90.00
loop_
_atom_site_label
_atom_site_fract_x
_atom_site_fract_y
_atom_site_fract_z
_atom_site_occupancy
Ba1 0.000 0.000 0.000 1
Cd1 0.250 0.250 0.750 1
Ru1 0.124 0.124 0.376 1
```

## Properties
* electronic total energy: -144.64 eV/cell


Entry 16:
This record from Alexandria describes crystalline BaCd2Ru at its relaxed geometry. The functional is GGA-PBE.

CIF file:
```
data_BaCd2Ru
_chemical_formula_sum 'Ba2 Cd4 Ru2'
_symmetry_space_group_name_H-M 'I m m 2'
_symmetry_Int_Tables_number 44
_symmetry_space_group_name_Hall 'I 2 -2'
_cell_length_a 3.436
_cell_length_b 4.451
_cell_length_c 14.372
_cell_angle_alpha 90.00
_cell_angle_beta 90.00
_cell_angle_gamma 90.00
loop_
_atom_site_label
_atom_site_fract_x
_atom_site_fract_y
_atom_site_fract_z
_atom_site_occupancy
Ba1 0.000 0.000 0.000 1
Cd1 0.000 0.000 0.665 1
Cd2 0.000 0.500 0.809 1
Ru1 0.000 0.500 0.319 1
```

## Properties
* electronic total energy: -24.41 eV/cell


Entry 17:
This record from Alexandria describes crystalline BaCd2Ru at its relaxed geometry. The functional is GGA-PBE.

CIF file:
```
data_BaCd2Ru
_chemical_formula_sum 'Ba2 Cd4 Ru2'
_symmetry_space_group_name_H-M 'C 1 2/m 1'
_symmetry_Int_Tables_number 12
_symmetry_space_group_name_Hall '-C 2y'
_cell_length_a 5.805
_cell_length_b 10.687
_cell_length_c 3.319
_cell_angle_alpha 90.00
_cell_angle_beta 108.00
_cell_angle_gamma 90.00
loop_
_atom_site_label
_atom_site_fract_x
_atom_site_fract_y
_atom_site_fract_z
_atom_site_occupancy
Ba1 0.000 0.000 0.000 1
Cd1 0.250 0.250 0.500 1
Ru1 0.000 0.500 0.000 1
```

## Properties
* electronic total energy: -21.70 eV/cell


Entry 18:
This record from Alexandria describes crystalline BaCd2Ru at its relaxed geometry. The functional is GGA-PBE.

CIF file:
```
data_BaCd2Ru
_chemical_formula_sum 'Ba1 Cd2 Ru1'
_symmetry_space_group_name_H-M 'P 4 m m'
_symmetry_Int_Tables_number 99
_symmetry_space_group_name_Hall 'P 4 -2'
_cell_length_a 3.681
_cell_length_b 3.681
_cell_length_c 7.682
_cell_angle_alpha 90.00
_cell_angle_beta 90.00
_cell_angle_gamma 90.00
loop_
_atom_site_label
_atom_site_fract_x
_atom_site_fract_y
_atom_site_fract_z
_atom_site_occupancy
Ba1 0.000 0.000 0.000 1
Cd1 0.000 0.000 0.577 1
Cd2 0.500 0.500 0.350 1
Ru1 0.500 0.500 0.711 1
```

## Properties
* electronic total energy: -12.06 eV/cell


Entry 19:
This record from Alexandria describes crystalline BaCdRu at its relaxed geometry. The functional is GGA-PBE.

CIF file:
```
data_BaCdRu
_chemical_formula_sum 'Ba4 Cd4 Ru4'
_symmetry_space_group_name_H-M 'F -4 3 m'
_symmetry_Int_Tables_number 216
_symmetry_space_group_name_Hall 'F -4 2 3'
_cell_length_a 6.960
_cell_length_b 6.960
_cell_length_c 6.960
_cell_angle_alpha 90.00
_cell_angle_beta 90.00
_cell_angle_gamma 90.00
loop_
_atom_site_label
_atom_site_fract_x
_atom_site_fract_y
_atom_site_fract_z
_atom_site_occupancy
Ba1 0.000 0.000 0.000 1
Cd1 0.000 0.000 0.500 1
Ru1 0.250 0.250 0.750 1
```

## Properties
* electronic total energy: -42.23 eV/cell


Entry 20:
This record from Alexandria describes crystalline BaCd2Ru at its relaxed geometry. The functional is GGA-PBE.

CIF file:
```
data_BaCd2Ru
_chemical_formula_sum 'Ba3 Cd6 Ru3'
_symmetry_space_group_name_H-M 'R -3 m'
_symmetry_Int_Tables_number 166
_symmetry_space_group_name_Hall '-R 3 2"'
_cell_length_a 3.2528
_cell_length_b 3.2528
_cell_length_c 31.3151
_cell_angle_alpha 90.00
_cell_angle_beta 90.00
_cell_angle_gamma 120.00
loop_
_atom_site_label
_atom_site_fract_x
_atom_site_fract_y
_atom_site_fract_z
_atom_site_occupancy
Ba1 0.0000 0.0000 0.0000 1
Cd1 0.0000 0.0000 0.2349 1
Ru1 0.0000 0.0000 0.5000 1
```

## Properties
* electronic total energy: -32.50 eV/cell


Record-wise mass density values, in Mg/m³: 4.8 7.6 8.5 6.9 7.5 8.0 6.0 7.5 7.4 7.7 7.8 6.8 7.9 7.9 9.4 7.0 7.9 7.4 6.9 8.0
Record-wise formation enthalpy at 0 K values, in eV per atom: -0.2473 -0.2550 -0.2378 -0.0540 -0.1386 -0.2058 0.3874 0.2458 0.3098 0.4512 0.2476 0.3033 0.5327 0.3710 0.6300 0.2054 0.5449 0.2413 0.5185 0.5489